(1)
Material: Y2NiBiC
Method: DFT, PBE
State: relaxed

Output
D(E_F) = 0.8725 states/eV per atom
Calculated total energy = -34.00 eV/cell
Offset from the most stable computed form = 0.000 eV per formula unit
Formation energy from the elements = -0.44 eV/atom

Cell and atoms, written as CIF:
```
data_Y2NiBiC
_chemical_formula_sum 'Y2 Ni1 Bi1 C1'
_space_group_name_H-M_alt 'P 4/m m m'
_space_group_IT_number 123
_space_group_name_Hall '-P 4 2'
_cell_length_a 5.123
_cell_length_b 5.123
_cell_length_c 3.839
_cell_angle_alpha 90.00
_cell_angle_beta 90.00
_cell_angle_gamma 90.00
loop_
_atom_site_label
_atom_site_type_symbol
_atom_site_fract_x
_atom_site_fract_y
_atom_site_fract_z
Y1 Y 0.000 0.500 0.000
Ni1 Ni 0.000 0.000 0.500
Bi1 Bi 0.500 0.500 0.500
C1 C 0.000 0.000 0.000
```

=====

(2)
Material: DyHoGaSn
Method: DFT, PBE
State: relaxed

Output
D(E_F) = 0.6845 states/eV per atom
Calculated total energy = -73.47 eV/cell
Offset from the most stable computed form = 0.620 eV per formula unit
Formation energy from the elements = -0.54 eV/atom

Cell and atoms, written as CIF:
```
data_DyHoGaSn
_chemical_formula_sum 'Dy4 Ho4 Ga4 Sn4'
_space_group_name_H-M_alt 'F -4 3 m'
_space_group_IT_number 216
_space_group_name_Hall 'F -4 2 3'
_cell_length_a 7.362
_cell_length_b 7.362
_cell_length_c 7.362
_cell_angle_alpha 90.00
_cell_angle_beta 90.00
_cell_angle_gamma 90.00
loop_
_atom_site_label
_atom_site_type_symbol
_atom_site_fract_x
_atom_site_fract_y
_atom_site_fract_z
Dy1 Dy 0.000 0.000 0.000
Ho1 Ho 0.000 0.000 0.500
Ga1 Ga 0.250 0.250 0.750
Sn1 Sn 0.250 0.250 0.250
```

=====

(3)
Material: Dy4CuSb2
Method: DFT, PBE
State: relaxed

Output
Formation energy (no corrections) = -0.52 eV/atom
D(E_F) = 0.8526 states/eV per atom
Calculated total energy = -68.76 eV/cell

Cell and atoms, written as CIF:
```
data_Dy4CuSb2
_chemical_formula_sum 'Dy8 Cu2 Sb4'
_space_group_name_H-M_alt 'C 1 2/m 1'
_space_group_IT_number 12
_cell_length_a 15.376
_cell_length_b 4.215
_cell_length_c 7.327
_cell_angle_alpha 90.00
_cell_angle_beta 118.44
_cell_angle_gamma 90.00
loop_
_space_group_symop_operation_xyz
'x,y,z'
'-x,-y,-z'
'-x,y,-z'
'x,-y,z'
'x+1/2,y+1/2,z'
'-x+1/2,-y+1/2,-z'
'-x+1/2,y+1/2,-z'
'x+1/2,-y+1/2,z'
loop_
_atom_site_label
_atom_site_type_symbol
_atom_site_fract_x
_atom_site_fract_y
_atom_site_fract_z
Dy1 Dy 0.113 0.000 0.282
Dy2 Dy 0.114 0.500 0.781
Cu1 Cu 0.000 0.500 0.000
Sb1 Sb 0.248 0.000 0.750
```

=====

(4)
Material: Na8Cd3Au2
Method: DFT, PBE
State: relaxed

Output
D(E_F) = 0.3008 states/eV per atom
Calculated total energy = -21.81 eV/cell
Formation energy from the elements = -0.15 eV/atom

Cell and atoms, written as CIF:
```
data_Na8Cd3Au2
_chemical_formula_sum 'Na8 Cd3 Au2'
_space_group_name_H-M_alt 'P 1 2/m 1'
_space_group_IT_number 10
_cell_length_a 7.173
_cell_length_b 4.886
_cell_length_c 9.962
_cell_angle_alpha 90.00
_cell_angle_beta 98.65
_cell_angle_gamma 90.00
loop_
_space_group_symop_operation_xyz
'x,y,z'
'-x,-y,-z'
'-x,y,-z'
'x,-y,z'
loop_
_atom_site_label
_atom_site_type_symbol
_atom_site_fract_x
_atom_site_fract_y
_atom_site_fract_z
Na1 Na 0.049 0.000 0.354
Na2 Na 0.135 0.500 0.893
Na3 Na 0.329 0.500 0.255
Na4 Na 0.408 0.000 0.829
Cd1 Cd 0.250 0.500 0.572
Cd2 Cd 0.500 0.000 0.500
Au1 Au 0.174 0.000 0.082
```

=====

(5)
Material: TaBeB
Method: DFT, PBE
State: relaxed

Output
D(E_F) = 0.1697 states/eV per atom
Calculated total energy = -141.81 eV/cell
Offset from the most stable computed form = 0.679 eV per formula unit
Formation energy from the elements = -0.46 eV/atom

Cell and atoms, written as CIF:
```
data_TaBeB
_chemical_formula_sum 'Ta6 Be6 B6'
_space_group_name_H-M_alt 'R 3 m'
_space_group_IT_number 160
_space_group_name_Hall 'R 3 -2"'
_cell_length_a 3.2854
_cell_length_b 3.2854
_cell_length_c 20.1860
_cell_angle_alpha 90.00
_cell_angle_beta 90.00
_cell_angle_gamma 120.00
loop_
_atom_site_label
_atom_site_type_symbol
_atom_site_fract_x
_atom_site_fract_y
_atom_site_fract_z
Ta1 Ta 0.0000 0.0000 0.0000
Ta2 Ta 0.0000 0.0000 0.4566
Be1 Be 0.0000 0.0000 0.2176
Be2 Be 0.0000 0.0000 0.5807
B1 B 0.0000 0.0000 0.7272
B2 B 0.0000 0.0000 0.8760
```

=====

(6)
Material: SrSmP2Rh5
Method: DFT, PBE
State: relaxed

Output
D(E_F) = 0.4966 states/eV per atom
Calculated total energy = -61.67 eV/cell
Formation energy from the elements = -0.85 eV/atom

Cell and atoms, written as CIF:
```
data_SrSmP2Rh5
_chemical_formula_sum 'Sr1 Sm1 P2 Rh5'
_space_group_name_H-M_alt 'P 4/m m m'
_space_group_IT_number 123
_space_group_name_Hall '-P 4 2'
_cell_length_a 4.157
_cell_length_b 4.157
_cell_length_c 9.230
_cell_angle_alpha 90.00
_cell_angle_beta 90.00
_cell_angle_gamma 90.00
loop_
_atom_site_label
_atom_site_type_symbol
_atom_site_fract_x
_atom_site_fract_y
_atom_site_fract_z
Sr1 Sr 0.000 0.000 0.000
Sm1 Sm 0.000 0.000 0.500
P1 P 0.500 0.500 0.167
Rh1 Rh 0.000 0.500 0.269
Rh2 Rh 0.500 0.500 0.500
```

=====

(7)
Material: Rb2CdCu2
Method: DFT, PBE
State: relaxed

Output
D(E_F) = 0.3509 states/eV per atom
Calculated total energy = -18.89 eV/cell
Offset from the most stable computed form = 0.085 eV per formula unit
Formation energy from the elements = 0.32 eV/atom

Cell and atoms, written as CIF:
```
data_Rb2CdCu2
_chemical_formula_sum 'Rb4 Cd2 Cu4'
_space_group_name_H-M_alt 'P 4/m b m'
_space_group_IT_number 127
_space_group_name_Hall '-P 4 2ab'
_cell_length_a 7.463
_cell_length_b 7.463
_cell_length_c 5.449
_cell_angle_alpha 90.00
_cell_angle_beta 90.00
_cell_angle_gamma 90.00
loop_
_atom_site_label
_atom_site_type_symbol
_atom_site_fract_x
_atom_site_fract_y
_atom_site_fract_z
Rb1 Rb 0.181 0.319 0.000
Cd1 Cd 0.000 0.000 0.500
Cu1 Cu 0.117 0.617 0.500
```

=====

(8)
Material: Pm4YTm3
Method: DFT, PBE
State: relaxed

Output
D(E_F) = 1.8601 states/eV per atom
Calculated total energy = -77.40 eV/cell
Offset from the most stable computed form = 0.000 eV per formula unit
Formation energy from the elements = 0.02 eV/atom

Cell and atoms, written as CIF:
```
data_Pm4YTm3
_chemical_formula_sum 'Pm8 Y2 Tm6'
_space_group_name_H-M_alt 'P m n 21'
_space_group_IT_number 31
_cell_length_a 11.448
_cell_length_b 7.299
_cell_length_c 6.291
_cell_angle_alpha 90.00
_cell_angle_beta 90.00
_cell_angle_gamma 90.00
loop_
_space_group_symop_operation_xyz
'x,y,z'
'-x+1/2,-y,z+1/2'
'-x,y,z'
'x+1/2,-y,z+1/2'
loop_
_atom_site_label
_atom_site_type_symbol
_atom_site_fract_x
_atom_site_fract_y
_atom_site_fract_z
Pm1 Pm 0.000 0.128 0.000
Pm2 Pm 0.000 0.871 0.508
Pm3 Pm 0.247 0.127 0.339
Y1 Y 0.000 0.623 0.008
Tm1 Tm 0.000 0.380 0.505
Tm2 Tm 0.250 0.379 0.840
```

=====

(9)
Material: Tm2CoAgC
Method: DFT, PBE
State: relaxed

Output
D(E_F) = 0.5583 states/eV per atom
Calculated total energy = -30.13 eV/cell
Formation energy from the elements = -0.40 eV/atom

Cell and atoms, written as CIF:
```
data_Tm2CoAgC
_chemical_formula_sum 'Tm2 Co1 Ag1 C1'
_space_group_name_H-M_alt 'P 4/m m m'
_space_group_IT_number 123
_space_group_name_Hall '-P 4 2'
_cell_length_a 4.928
_cell_length_b 4.928
_cell_length_c 3.642
_cell_angle_alpha 90.00
_cell_angle_beta 90.00
_cell_angle_gamma 90.00
loop_
_atom_site_label
_atom_site_type_symbol
_atom_site_fract_x
_atom_site_fract_y
_atom_site_fract_z
Tm1 Tm 0.000 0.500 0.000
Co1 Co 0.000 0.000 0.500
Ag1 Ag 0.500 0.500 0.500
C1 C 0.000 0.000 0.000
```

=====

(10)
Material: PmPaPd2
Method: DFT, PBE
State: relaxed

Output
D(E_F) = 1.4879 states/eV per atom
Calculated total energy = -26.78 eV/cell
Offset from the most stable computed form = 0.000 eV per formula unit
Formation energy from the elements = -0.54 eV/atom

Cell and atoms, written as CIF:
```
data_PmPaPd2
_chemical_formula_sum 'Pm1 Pa1 Pd2'
_space_group_name_H-M_alt 'P 4/m m m'
_space_group_IT_number 123
_space_group_name_Hall '-P 4 2'
_cell_length_a 3.566
_cell_length_b 3.566
_cell_length_c 7.172
_cell_angle_alpha 90.00
_cell_angle_beta 90.00
_cell_angle_gamma 90.00
loop_
_atom_site_label
_atom_site_type_symbol
_atom_site_fract_x
_atom_site_fract_y
_atom_site_fract_z
Pm1 Pm 0.000 0.000 0.000
Pa1 Pa 0.000 0.000 0.500
Pd1 Pd 0.500 0.500 0.282
```

=====

(11)
Material: YIn2Co2
Method: DFT, PBE
State: relaxed

Output
D(E_F) = 0.5765 states/eV per atom
Calculated total energy = -52.57 eV/cell
Offset from the most stable computed form = 0.322 eV per formula unit
Formation energy from the elements = -0.03 eV/atom

Cell and atoms, written as CIF:
```
data_YIn2Co2
_chemical_formula_sum 'Y2 In4 Co4'
_space_group_name_H-M_alt 'P 4/m b m'
_space_group_IT_number 127
_space_group_name_Hall '-P 4 2ab'
_cell_length_a 7.202
_cell_length_b 7.202
_cell_length_c 3.528
_cell_angle_alpha 90.00
_cell_angle_beta 90.00
_cell_angle_gamma 90.00
loop_
_atom_site_label
_atom_site_type_symbol
_atom_site_fract_x
_atom_site_fract_y
_atom_site_fract_z
Y1 Y 0.000 0.000 0.000
In1 In 0.159 0.341 0.500
Co1 Co 0.130 0.630 0.000
```

=====

(12)
Material: TiGaPdAu
Method: DFT, PBE
State: relaxed

Output
D(E_F) = 0.5475 states/eV per atom
Calculated total energy = -85.35 eV/cell
Formation energy from the elements = -0.49 eV/atom

Cell and atoms, written as CIF:
```
data_TiGaPdAu
_chemical_formula_sum 'Ti4 Ga4 Pd4 Au4'
_space_group_name_H-M_alt 'F -4 3 m'
_space_group_IT_number 216
_space_group_name_Hall 'F -4 2 3'
_cell_length_a 6.368
_cell_length_b 6.368
_cell_length_c 6.368
_cell_angle_alpha 90.00
_cell_angle_beta 90.00
_cell_angle_gamma 90.00
loop_
_atom_site_label
_atom_site_type_symbol
_atom_site_fract_x
_atom_site_fract_y
_atom_site_fract_z
Ti1 Ti 0.000 0.000 0.000
Ga1 Ga 0.000 0.000 0.500
Pd1 Pd 0.250 0.250 0.750
Au1 Au 0.250 0.250 0.250
```